The following is a GGA-PBE calculation of crystalline NaCuPb at its relaxed geometry, from the Alexandria database.

Formation energy from the elements: 0.08 eV/atom

Cell: 5.0701 6.9063 6.9063 Å, 120.78 90.00 90.00°
Sites, in units of the cell vectors:
Na (0.0000, 0.0000, 0.0000)
Na (0.0000, 0.0401, 0.5202)
Na (0.0000, 0.5202, 0.0401)
Cu (0.5000, 0.3031, 0.3031)
Cu (0.5000, 0.5163, 0.7301)
Cu (0.5000, 0.7301, 0.5163)
Pb (0.0000, 0.5188, 0.5188)
Pb (0.5000, 0.1883, 0.8518)
Pb (0.5000, 0.8518, 0.1883)